No. 1
# SbIrOs2

A relaxed SbIrOs2 crystal (GGA-PBE, Alexandria via LeMat-Bulk).

## Properties
uncorrected formation energy = 653 meV per atom
raw total energy = -8.21 eV per atom

Unit cell a=2.8554 b=4.7274 c=4.7823 alpha=90.00 beta=90.00 gamma=90.00
Space group Pmmm (No. 47)
Unique sites:
Sb 0.0000 0.0000 0.0000 x1
Ir 0.5000 0.5000 0.0000 x1
Os 0.0000 0.5000 0.5000 x1
Os 0.5000 0.0000 0.5000 x1

No. 2
# AcLaGd2

A relaxed AcLaGd2 crystal (GGA-PBE, Alexandria via LeMat-Bulk).

## Properties
ΔH_f (0 K) = 95 meV/atom
raw total energy = -9.20 eV per atom
excess energy over the best structure of this formula in the dataset = 0.064 eV/atom

Unit cell a=8.3842 b=8.3842 c=8.3842 alpha=90.00 beta=90.00 gamma=90.00
Space group Fm-3m (No. 225)
Unique sites:
Ac 0.0000 0.0000 0.0000 x4
La 0.0000 0.0000 0.5000 x4
Gd 0.2500 0.2500 0.2500 x8

No. 3
# CaPr3B2N6

A relaxed CaPr3B2N6 crystal (GGA-PBE, Alexandria via LeMat-Bulk).

## Properties
uncorrected formation energy = -984 meV per atom
raw total energy = -7.62 eV per atom

Unit cell a=5.6643 b=5.6643 c=6.3346 alpha=90.00 beta=90.00 gamma=120.00
Space group P-3m1 (No. 164)
Unique sites:
Ca 0.0000 0.0000 0.0000 x1
Pr 0.0000 0.0000 0.5000 x1
Pr 0.3333 0.6667 0.1543 x2
B 0.3333 0.6667 0.7422 x2
N 0.1868 0.3735 0.7711 x6

No. 4
# NaBeRu3

A relaxed NaBeRu3 crystal (GGA-PBE, Alexandria via LeMat-Bulk).

## Properties
ΔH_f (0 K) = 851 meV/atom
raw total energy = -5.72 eV per atom
excess energy over the best structure of this formula in the dataset = 0.000 eV/atom

Unit cell a=4.2230 b=4.2230 c=4.2230 alpha=90.00 beta=90.00 gamma=90.00
Space group Pm-3m (No. 221)
Unique sites:
Na 0.0000 0.0000 0.0000 x1
Be 0.5000 0.5000 0.5000 x1
Ru 0.0000 0.5000 0.5000 x3

No. 5
# SrEu2Ni

A relaxed SrEu2Ni crystal (GGA-PBE, Alexandria via LeMat-Bulk).

## Properties
ΔH_f (0 K) = -22 meV/atom
raw total energy = -7.03 eV per atom
excess energy over the best structure of this formula in the dataset = 0.000 eV/atom

Unit cell a=4.1374 b=4.1374 c=30.2269 alpha=90.00 beta=90.00 gamma=120.00
Space group R-3m (No. 166, hexagonal axes)
Unique sites:
Sr 0.0000 0.0000 0.0000 x3
Eu 0.0000 0.0000 0.2183 x6
Ni 0.0000 0.0000 0.5000 x3

No. 6
# LiIn2Sb

A relaxed LiIn2Sb crystal (GGA-PBE, Alexandria via LeMat-Bulk).

## Properties
uncorrected formation energy = -44 meV per atom
raw total energy = -2.92 eV per atom

Unit cell a=3.5941 b=3.5941 c=27.0501 alpha=90.00 beta=90.00 gamma=120.00
Space group R-3m (No. 166, hexagonal axes)
Unique sites:
Li 0.0000 0.0000 0.0000 x3
In 0.0000 0.0000 0.2546 x6
Sb 0.0000 0.0000 0.5000 x3

No. 7
# Tb2PmSm3Ho6

A relaxed Tb2PmSm3Ho6 crystal (GGA-PBE, Alexandria via LeMat-Bulk).

## Properties
ΔH_f (0 K) = 15 meV/atom
raw total energy = -4.62 eV per atom

Unit cell a=6.1839 b=10.7042 c=11.7754 alpha=90.00 beta=100.04 gamma=90.00
Space group C2/m (No. 12)
Unique sites:
Tb 0.0000 0.1667 0.0000 x4
Pm 0.0000 0.5000 0.0000 x2
Sm 0.0000 0.0000 0.5000 x2
Sm 0.0000 0.3332 0.5000 x4
Ho 0.2497 0.0000 0.2490 x4
Ho 0.2497 0.1668 0.7509 x8

No. 8
# La2Ni4P3Rh

A relaxed La2Ni4P3Rh crystal (GGA-PBE, Alexandria via LeMat-Bulk).

## Properties
ΔH_f (0 K) = -829 meV/atom
raw total energy = -6.48 eV per atom

Unit cell a=4.0086 b=4.0086 c=9.8204 alpha=90.00 beta=90.00 gamma=90.00
Space group P-4m2 (No. 115)
Unique sites:
La 0.0000 0.5000 0.2500 x2
Ni 0.0000 0.0000 0.0000 x1
Ni 0.0000 0.5000 0.6469 x2
Ni 0.5000 0.5000 0.0000 x1
P 0.0000 0.5000 0.8784 x2
P 0.5000 0.5000 0.5000 x1
Rh 0.0000 0.0000 0.5000 x1

What is the raw total energy in the sixth record? -2.92 eV per atom

What is the formula in the first record? SbIrOs2

Which formula does entry 5 have? SrEu2Ni

Among the records above, which one has the lowest raw total energy? AcLaGd2